(1)
# PuH7Pt4 (PBE, relaxed)
# - Size of the total moment: 21.6 μB/cell
# - Final energy: -253.6 eV/cell
data_PuH7Pt4
_chemical_formula_sum 'Pu4 H28 Pt16'
_cell_length_a 9.755
_cell_length_b 9.517
_cell_length_c 5.522
_cell_angle_alpha 90.00
_cell_angle_beta 90.00
_cell_angle_gamma 90.00
_symmetry_space_group_name_H-M 'C m c m'
_symmetry_Int_Tables_number 63
_symmetry_space_group_name_Hall '-C 2c 2'
loop_
_atom_site_label
_atom_site_type_symbol
_atom_site_fract_x
_atom_site_fract_y
_atom_site_fract_z
Pu1 Pu 0.000 0.234 0.250
H1 H 0.000 0.188 0.750
H2 H 0.102 0.012 0.250
H3 H 0.136 0.385 0.546
Pt1 Pt 0.166 0.256 0.750
Pt2 Pt 0.213 0.000 0.000

---

(2)
# Pu3H12Pt5 (PBE, relaxed)
# - Size of the total moment: 138.6 μB/cell
# - Final energy: -936.1 eV/cell
data_Pu3H12Pt5
_chemical_formula_sum 'Pu24 H96 Pt40'
_cell_length_a 12.013
_cell_length_b 12.013
_cell_length_c 12.013
_cell_angle_alpha 90.00
_cell_angle_beta 90.00
_cell_angle_gamma 90.00
_symmetry_space_group_name_H-M 'I a -3 d'
_symmetry_Int_Tables_number 230
_symmetry_space_group_name_Hall '-I 4bd 2c 3'
loop_
_atom_site_label
_atom_site_type_symbol
_atom_site_fract_x
_atom_site_fract_y
_atom_site_fract_z
Pu1 Pu 0.000 0.250 0.125
H1 H 0.038 0.046 0.638
Pt1 Pt 0.000 0.000 0.000
Pt2 Pt 0.000 0.250 0.375

---

(3)
# Pu4HPt2 (PBE, relaxed)
# - Size of the total moment: 46.4 μB/cell
# - Final energy: -152.1 eV/cell
data_Pu4HPt2
_chemical_formula_sum 'Pu8 H2 Pt4'
_cell_length_a 4.383
_cell_length_b 4.383
_cell_length_c 15.692
_cell_angle_alpha 90.00
_cell_angle_beta 90.00
_cell_angle_gamma 90.00
_symmetry_space_group_name_H-M 'I 4/m m m'
_symmetry_Int_Tables_number 139
_symmetry_space_group_name_Hall '-I 4 2'
loop_
_atom_site_label
_atom_site_type_symbol
_atom_site_fract_x
_atom_site_fract_y
_atom_site_fract_z
Pu1 Pu 0.000 0.000 0.182
Pu2 Pu 0.000 0.500 0.000
H1 H 0.000 0.000 0.000
Pt1 Pt 0.000 0.000 0.362

---

(4)
# PuH5Pt (PBE, relaxed)
# - Size of the total moment: 11.9 μB/cell
# - Final energy: -78.3 eV/cell
data_PuH5Pt
_chemical_formula_sum 'Pu2 H10 Pt2'
_cell_length_a 3.917
_cell_length_b 4.955
_cell_length_c 6.694
_cell_angle_alpha 90.00
_cell_angle_beta 90.00
_cell_angle_gamma 90.00
_symmetry_space_group_name_H-M 'I m m m'
_symmetry_Int_Tables_number 71
_symmetry_space_group_name_Hall '-I 2 2'
loop_
_atom_site_label
_atom_site_type_symbol
_atom_site_fract_x
_atom_site_fract_y
_atom_site_fract_z
Pu1 Pu 0.000 0.000 0.000
H1 H 0.000 0.254 0.332
H2 H 0.000 0.500 0.000
Pt1 Pt 0.000 0.000 0.500

---

(5)
# PuHPt (PBE, relaxed)
# - Distance to the lowest polymorph of the same formula: 0.00 eV per formula unit
# - Size of the total moment: 22.2 μB/cell
# - Final energy: -101.2 eV/cell
data_PuHPt
_chemical_formula_sum 'Pu4 H4 Pt4'
_cell_length_a 6.409
_cell_length_b 7.283
_cell_length_c 5.054
_cell_angle_alpha 90.00
_cell_angle_beta 128.42
_cell_angle_gamma 90.00
_symmetry_space_group_name_H-M 'C 1 2/m 1'
_symmetry_Int_Tables_number 12
loop_
_symmetry_equiv_pos_as_xyz
'x,y,z'
'-x,-y,-z'
'-x,y,-z'
'x,-y,z'
'x+1/2,y+1/2,z'
'-x+1/2,-y+1/2,-z'
'-x+1/2,y+1/2,-z'
'x+1/2,-y+1/2,z'
loop_
_atom_site_label
_atom_site_type_symbol
_atom_site_fract_x
_atom_site_fract_y
_atom_site_fract_z
Pu1 Pu 0.250 0.250 0.000
H1 H 0.000 0.000 0.000
H2 H 0.000 0.500 0.500
Pt1 Pt 0.221 0.000 0.505

---

(6)
# Pu2HPt (PBE, relaxed)
# - Distance to the lowest polymorph of the same formula: 0.62 eV per formula unit
# - Size of the total moment: 11.6 μB/cell
# - Final energy: -39.3 eV/cell
data_Pu2HPt
_chemical_formula_sum 'Pu2 H1 Pt1'
_cell_length_a 3.216
_cell_length_b 3.216
_cell_length_c 7.024
_cell_angle_alpha 90.00
_cell_angle_beta 90.00
_cell_angle_gamma 90.00
_symmetry_space_group_name_H-M 'P 4/m m m'
_symmetry_Int_Tables_number 123
_symmetry_space_group_name_Hall '-P 4 2'
loop_
_atom_site_label
_atom_site_type_symbol
_atom_site_fract_x
_atom_site_fract_y
_atom_site_fract_z
Pu1 Pu 0.000 0.000 0.223
H1 H 0.500 0.500 0.000
Pt1 Pt 0.500 0.500 0.500

---

(7)
# Pu12H5Pt3 (PBE, relaxed)
# - Size of the total moment: 59.1 μB/cell
# - Final energy: -1589.9 eV/cell
data_Pu12H5Pt3
_chemical_formula_sum 'Pu96 H40 Pt24'
_cell_length_a 13.923
_cell_length_b 13.923
_cell_length_c 13.923
_cell_angle_alpha 90.00
_cell_angle_beta 90.00
_cell_angle_gamma 90.00
_symmetry_space_group_name_H-M 'I a -3 d'
_symmetry_Int_Tables_number 230
_symmetry_space_group_name_Hall '-I 4bd 2c 3'
loop_
_atom_site_label
_atom_site_type_symbol
_atom_site_fract_x
_atom_site_fract_y
_atom_site_fract_z
Pu1 Pu 0.056 0.114 0.925
H1 H 0.000 0.000 0.000
H2 H 0.000 0.250 0.375
Pt1 Pt 0.000 0.250 0.125

---

(8)
# PuH8Pt2 (PBE, relaxed)
# - Size of the total moment: 10.7 μB/cell
# - Final energy: -109.5 eV/cell
data_PuH8Pt2
_chemical_formula_sum 'Pu2 H16 Pt4'
_cell_length_a 3.766
_cell_length_b 7.090
_cell_length_c 7.598
_cell_angle_alpha 90.00
_cell_angle_beta 90.00
_cell_angle_gamma 90.00
_symmetry_space_group_name_H-M 'I m m m'
_symmetry_Int_Tables_number 71
_symmetry_space_group_name_Hall '-I 2 2'
loop_
_atom_site_label
_atom_site_type_symbol
_atom_site_fract_x
_atom_site_fract_y
_atom_site_fract_z
Pu1 Pu 0.000 0.000 0.000
H1 H 0.000 0.000 0.316
H2 H 0.000 0.339 0.000
H3 H 0.000 0.340 0.344
Pt1 Pt 0.000 0.500 0.184

---

(9)
# PuH4Pt2 (PBE, relaxed)
# - Size of the total moment: 10.9 μB/cell
# - Final energy: -83.1 eV/cell
data_PuH4Pt2
_chemical_formula_sum 'Pu2 H8 Pt4'
_cell_length_a 5.038
_cell_length_b 5.042
_cell_length_c 6.885
_cell_angle_alpha 80.57
_cell_angle_beta 80.67
_cell_angle_gamma 89.73
_symmetry_space_group_name_H-M 'P 1'
_symmetry_Int_Tables_number 1
loop_
_symmetry_equiv_pos_as_xyz
'x,y,z'
loop_
_atom_site_label
_atom_site_type_symbol
_atom_site_fract_x
_atom_site_fract_y
_atom_site_fract_z
Pu1 Pu 0.000 0.000 0.000
Pu2 Pu 0.376 0.623 0.500
H1 H 0.014 0.810 0.702
H2 H 0.019 0.336 0.704
H3 H 0.101 0.089 0.340
H4 H 0.185 0.637 0.202
H5 H 0.462 0.363 0.833
H6 H 0.464 0.727 0.839
H7 H 0.710 0.643 0.203
H8 H 0.739 0.085 0.331
Pt1 Pt 0.433 0.164 0.275
Pt2 Pt 0.540 0.058 0.774
Pt3 Pt 0.790 0.558 0.760
Pt4 Pt 0.933 0.414 0.260

---

(10)
# Pu6HPt3 (PBE, relaxed)
# - Size of the total moment: 22.9 μB/cell
# - Final energy: -223.4 eV/cell
data_Pu6HPt3
_chemical_formula_sum 'Pu12 H2 Pt6'
_cell_length_a 6.025
_cell_length_b 7.440
_cell_length_c 11.524
_cell_angle_alpha 90.00
_cell_angle_beta 120.50
_cell_angle_gamma 90.00
_symmetry_space_group_name_H-M 'P 1 21/c 1'
_symmetry_Int_Tables_number 14
loop_
_symmetry_equiv_pos_as_xyz
'x,y,z'
'-x,-y,-z'
'-x,y+1/2,-z+1/2'
'x,-y+1/2,z+1/2'
loop_
_atom_site_label
_atom_site_type_symbol
_atom_site_fract_x
_atom_site_fract_y
_atom_site_fract_z
Pu1 Pu 0.094 0.033 0.232
Pu2 Pu 0.178 0.688 0.068
Pu3 Pu 0.404 0.146 0.051
H1 H 0.000 0.000 0.000
Pt1 Pt 0.340 0.127 0.742
Pt2 Pt 0.500 0.000 0.500

---

(11)
# Pu2HPt (PBE, relaxed)
# - Distance to the lowest polymorph of the same formula: 1.75 eV per formula unit
# - Size of the total moment: 0.0 μB/cell
# - Final energy: -114.5 eV/cell
data_Pu2HPt
_chemical_formula_sum 'Pu6 H3 Pt3'
_cell_length_a 3.7851
_cell_length_b 3.7851
_cell_length_c 14.7453
_cell_angle_alpha 90.00
_cell_angle_beta 90.00
_cell_angle_gamma 120.00
_symmetry_space_group_name_H-M 'R -3 m'
_symmetry_Int_Tables_number 166
_symmetry_space_group_name_Hall '-R 3 2"'
loop_
_atom_site_label
_atom_site_type_symbol
_atom_site_fract_x
_atom_site_fract_y
_atom_site_fract_z
Pu1 Pu 0.0000 0.0000 0.2064
H1 H 0.0000 0.0000 0.5000
Pt1 Pt 0.0000 0.0000 0.0000

---

(12)
# PuHPt (PBE, relaxed)
# - Distance to the lowest polymorph of the same formula: 0.42 eV per formula unit
# - Size of the total moment: 20.2 μB/cell
# - Final energy: -99.5 eV/cell
data_PuHPt
_chemical_formula_sum 'Pu4 H4 Pt4'
_cell_length_a 9.070
_cell_length_b 3.800
_cell_length_c 6.495
_cell_angle_alpha 90.00
_cell_angle_beta 122.08
_cell_angle_gamma 90.00
_symmetry_space_group_name_H-M 'C 1 2/m 1'
_symmetry_Int_Tables_number 12
loop_
_symmetry_equiv_pos_as_xyz
'x,y,z'
'-x,-y,-z'
'-x,y,-z'
'x,-y,z'
'x+1/2,y+1/2,z'
'-x+1/2,-y+1/2,-z'
'-x+1/2,y+1/2,-z'
'x+1/2,-y+1/2,z'
loop_
_atom_site_label
_atom_site_type_symbol
_atom_site_fract_x
_atom_site_fract_y
_atom_site_fract_z
Pu1 Pu 0.065 0.000 0.316
H1 H 0.145 0.500 0.538
Pt1 Pt 0.179 0.500 0.078

---

The highest size of the total moment belongs to which entry?
Pu3H12Pt5